1.
PaCuGe: optimized geometry, PBE-GGA.

The structure belongs to space group R-3m (No. 166, hexagonal axes); the cell edges are 4.1451, 4.1451 and 23.4548 Å and the angles 90.00°, 90.00° and 120.00°. The asymmetric unit holds Pa at (0.0000, 0.0000, 0.1353), Cu at (0.0000, 0.0000, 0.2685) and Ge at (0.0000, 0.0000, 0.3780).

For the energy relative to the lowest polymorph listed for this composition, the calculation gives 43.1 kJ per mole of atoms. The energy relative to the elements is 0.072 eV/atom. The value obtained for the raw total energy is -6.00 eV per atom. The total magnetic moment is 0.00 μB/f.u. Its density of states at the Fermi level is 4.0 states/eV/f.u.

=====

2.
DyGePd: optimized geometry, PBE-GGA.

The structure belongs to space group C2/m (No. 12); the cell edges are 10.4766, 4.3444 and 7.0595 Å and the angles 90.00°, 132.13° and 90.00°. The asymmetric unit holds Dy at (0.0488, 0.0000, 0.3089), Ge at (0.1586, 0.5000, 0.0988) and Pd at (0.1761, 0.5000, 0.7258).

The energy relative to the elements is -0.908 eV/atom. The value obtained for the raw total energy is -5.71 eV per atom. The total magnetic moment is 0.00 μB/f.u. Its density of states at the Fermi level is 1.4 states/eV/f.u.

=====

3.
Nb2InI: optimized geometry, PBE-GGA.

The structure belongs to space group I-42d (No. 122); the cell edges are 4.2677, 4.2677 and 20.2645 Å and the angles 90.00°, 90.00° and 90.00°. The asymmetric unit holds Nb at (0.2491, 0.2500, 0.1250), In at (0.0000, 0.0000, 0.0000) and I at (0.0000, 0.0000, 0.5000).

For the energy relative to the lowest polymorph listed for this composition, the calculation gives 20.4 kJ per mole of atoms. The calculation puts the formation energy (no corrections) at 0.745 eV/atom. The value obtained for the raw total energy is -5.36 eV per atom. The total magnetic moment is 0.00 μB/f.u. Its density of states at the Fermi level is 2.8 states/eV/f.u.

=====

4.
BaTcRh2: optimized geometry, PBE-GGA.

The structure belongs to space group I-42d (No. 122); the cell edges are 5.2554, 5.2554 and 15.8357 Å and the angles 90.00°, 90.00° and 90.00°. The asymmetric unit holds Ba at (0.0000, 0.0000, 0.0000), Tc at (0.0000, 0.0000, 0.5000) and Rh at (0.0479, 0.2500, 0.6250).

For the energy relative to the lowest polymorph listed for this composition, the calculation gives 32.0 kJ per mole of atoms. The energy relative to the elements is 0.496 eV/atom. The value obtained for the raw total energy is -6.25 eV per atom. The total magnetic moment is 0.00 μB/f.u. Its density of states at the Fermi level is 3.3 states/eV/f.u.